First-principles (PBE-GGA) data for a relaxed Pu2N crystal, as listed in the Alexandria database.

Properties
The calculation puts the total moment at 11.2 μB per formula unit. The symmetry is P-31m (162). The value obtained for the density of states at the Fermi level is 3.897 states/eV/atom. The raw formation energy is -1.93 eV per formula unit. Its energy is -116.77 eV for the cell shown. As for the crystal system: trigonal.

abc: 6.066 6.066 5.544
angles: 90.00 90.00 120.00
Element x y z (fractional)
Pu1 0.332 0.332 0.252
Pu2 0.000 0.332 0.748
N1 0.667 0.333 0.500
N2 0.000 0.000 0.000
Pu3 0.000 0.668 0.252
Pu4 0.332 0.000 0.748
Pu5 0.668 0.000 0.252
N3 0.333 0.667 0.500
Pu6 0.668 0.668 0.748